No. 1
## Sc2AlCu (SCAN)

Data for a crystal of Sc2AlCu relaxed with PBEsol.

abc: 3.208 3.208 6.893
angles: 90.00 90.00 90.00
Atoms (fractional coordinates):
Sc: 0.000 0.000 0.732
Cu: 0.500 0.500 0.500
Sc: 0.000 0.000 0.268
Al: 0.500 0.500 0.000

## Properties
Calculated formation energy: -0.41 eV/atom
D(E_F): 2.6 states/eV/cell

No. 2
## AgSbPb (SCAN)

Data for a crystal of AgSbPb relaxed with PBEsol.

abc: 3.353 3.353 6.860
angles: 104.15 104.15 90.00
Atoms (fractional coordinates):
Sb: 0.355 0.355 0.710
Ag: 0.994 0.994 0.989
Pb: 0.651 0.651 0.302

## Properties
Energy above the most stable polymorph in this dataset: 0.090 eV/atom
Uncorrected formation energy: 13 kJ per mole of atoms
D(E_F): 1.1 states/eV/cell

No. 3
## Be2PRh (SCAN)

Data for a crystal of Be2PRh relaxed with PBEsol.

abc: 2.790 3.207 4.735
angles: 90.00 90.00 90.00
Atoms (fractional coordinates):
P: 0.000 0.000 0.483
Be: 0.500 0.500 0.244
Rh: 0.500 0.500 0.751
Be: 0.000 0.000 0.021

## Properties
Calculated formation energy: -0.27 eV/atom
D(E_F): 1.5 states/eV/cell

No. 4
## SrReN3 (SCAN)

Data for a crystal of SrReN3 relaxed with PBEsol.

abc: 6.189 7.517 7.517
angles: 86.90 77.83 77.83
Atoms (fractional coordinates):
Sr: 0.750 0.317 0.683
N: 0.336 0.012 0.232
Re: 0.748 0.796 0.623
N: 0.164 0.768 0.988
Re: 0.752 0.377 0.204
N: 0.836 0.232 0.012
N: 0.006 0.634 0.674
N: 0.337 0.401 0.871
Re: 0.252 0.204 0.377
N: 0.994 0.366 0.326
N: 0.663 0.599 0.129
N: 0.664 0.988 0.768
Sr: 0.250 0.090 0.910
N: 0.837 0.871 0.401
Re: 0.248 0.623 0.796
N: 0.494 0.326 0.366
N: 0.163 0.129 0.599
N: 0.506 0.674 0.634
Sr: 0.750 0.910 0.090
Sr: 0.250 0.683 0.317

## Properties
Uncorrected formation energy: -63 kJ per mole of atoms
D(E_F): 0.0 states/eV/cell

No. 5
## Sr3TlCr (SCAN)

Data for a crystal of Sr3TlCr relaxed with PBEsol.

abc: 5.906 5.906 5.906
angles: 90.00 90.00 90.00
Last column: magnetic moment on the atom in μB.
Atoms (fractional coordinates):
Sr: 0.500 0.000 0.000  0.03
Sr: 0.000 0.000 0.500  0.03
Cr: 0.000 0.000 0.000  4.09
Sr: 0.000 0.500 0.000  0.03
Tl: 0.500 0.500 0.500  -0.11

## Properties
Calculated formation energy: 0.39 eV/atom
D(E_F): 4.0 states/eV/cell

No. 6
## AlSiSbH2 (SCAN)

Data for a crystal of AlSiSbH2 relaxed with PBEsol.

abc: 3.687 3.687 5.367
angles: 90.00 90.00 90.00
Atoms (fractional coordinates):
H: 0.500 0.000 0.000
Si: 0.000 0.000 0.500
Sb: 0.500 0.500 0.500
H: 0.000 0.500 0.000
Al: 0.000 0.000 0.000

## Properties
Total energy: -12.0265 eV/atom
D(E_F): 1.7 states/eV/cell

No. 7
## ZrZn2Mo (SCAN)

Data for a crystal of ZrZn2Mo relaxed with PBEsol.

abc: 2.772 2.772 8.264
angles: 90.00 90.00 91.38
Atoms (fractional coordinates):
Zn: 0.000 0.000 0.990
Zr: 0.000 0.000 0.512
Mo: 0.500 0.500 0.222
Zn: 0.500 0.500 0.776

## Properties
Calculated formation energy: 0.03 eV/atom
Energy above the most stable polymorph in this dataset: 0.066 eV/atom
D(E_F): 2.1 states/eV/cell

No. 8
## TbErTe2 (SCAN)

Data for a crystal of TbErTe2 relaxed with PBEsol.

abc: 4.274 4.274 6.057
angles: 90.00 90.00 90.00
Atoms (fractional coordinates):
Tb: 0.500 0.500 0.500
Er: 0.000 0.000 0.000
Te: 0.000 0.000 0.500
Te: 0.500 0.500 0.000

## Properties
Uncorrected formation energy: -132 kJ per mole of atoms
D(E_F): 2.1 states/eV/cell